CaCrPb2N | GGA-PBE | relaxed

raw formation energy = 0.838 eV per formula unit
M_tot = 0.00 μB per cell

Structure (CIF):
```
data_CaCrPb2N
_cell_length_a 5.493
_cell_length_b 5.493
_cell_length_c 3.566
_cell_angle_alpha 90.00
_cell_angle_beta 90.00
_cell_angle_gamma 90.00
_space_group_name_H-M_alt 'P 4/m m m'
_space_group_IT_number 123
_space_group_name_Hall '-P 4 2'
loop_
_atom_site_label
_atom_site_fract_x
_atom_site_fract_y
_atom_site_fract_z
Ca1 0.000 0.000 0.000
Cr1 0.500 0.500 0.500
Pb1 0.000 0.500 0.500
N1 0.500 0.500 0.000
```

---

Ca2CrPbN | GGA-PBE | relaxed

raw formation energy = -2.501 eV per formula unit
M_tot = 3.26 μB per cell

Structure (CIF):
```
data_Ca2CrPbN
_cell_length_a 5.297
_cell_length_b 5.297
_cell_length_c 3.814
_cell_angle_alpha 90.00
_cell_angle_beta 90.00
_cell_angle_gamma 90.00
_space_group_name_H-M_alt 'P 4/m m m'
_space_group_IT_number 123
_space_group_name_Hall '-P 4 2'
loop_
_atom_site_label
_atom_site_fract_x
_atom_site_fract_y
_atom_site_fract_z
Ca1 0.000 0.500 0.000
Cr1 0.000 0.000 0.500
Pb1 0.500 0.500 0.500
N1 0.000 0.000 0.000
```

---

Ca2PmCrN4 | GGA-PBE | relaxed

raw formation energy = -7.606 eV per formula unit
M_tot = 2.00 μB per cell

Structure (CIF):
```
data_Ca2PmCrN4
_cell_length_a 7.329
_cell_length_b 6.732
_cell_length_c 5.246
_cell_angle_alpha 90.00
_cell_angle_beta 90.00
_cell_angle_gamma 90.00
_space_group_name_H-M_alt 'P m n 21'
_space_group_IT_number 31
loop_
_space_group_symop_operation_xyz
'x,y,z'
'-x+1/2,-y,z+1/2'
'-x,y,z'
'x+1/2,-y,z+1/2'
loop_
_atom_site_label
_atom_site_fract_x
_atom_site_fract_y
_atom_site_fract_z
Ca1 0.244 0.161 0.000
Pm1 0.000 0.369 0.503
Cr1 0.000 0.678 0.043
N1 0.000 0.409 0.978
N2 0.000 0.688 0.381
N3 0.213 0.804 0.963
```

---

CaPmCrN4 | GGA-PBE | relaxed

raw formation energy = -5.113 eV per formula unit
M_tot = 1.88 μB per cell

Structure (CIF):
```
data_CaPmCrN4
_cell_length_a 5.778
_cell_length_b 5.537
_cell_length_c 6.810
_cell_angle_alpha 90.00
_cell_angle_beta 106.12
_cell_angle_gamma 90.00
_space_group_name_H-M_alt 'P 1 21/m 1'
_space_group_IT_number 11
loop_
_space_group_symop_operation_xyz
'x,y,z'
'-x,-y,-z'
'-x,y+1/2,-z'
'x,-y+1/2,z'
loop_
_atom_site_label
_atom_site_fract_x
_atom_site_fract_y
_atom_site_fract_z
Ca1 0.210 0.250 0.423
Pm1 0.286 0.250 0.946
Cr1 0.260 0.750 0.202
N1 0.059 0.750 0.352
N2 0.090 0.750 0.948
N3 0.453 0.505 0.239
```